1.
# Ca2Mg3ReN6, optimized geometry, DFT GGA-PBE
data_Ca2Mg3ReN6
_chemical_formula_sum 'Ca4 Mg6 Re2 N12'
_symmetry_space_group_name_H-M 'C 1 2/m 1'
_symmetry_Int_Tables_number 12
_symmetry_space_group_name_Hall '-C 2y'
_cell_length_a 5.663
_cell_length_b 9.835
_cell_length_c 5.400
_cell_angle_alpha 90.00
_cell_angle_beta 110.63
_cell_angle_gamma 90.00
loop_
_atom_site_label
_atom_site_type_symbol
_atom_site_fract_x
_atom_site_fract_y
_atom_site_fract_z
Ca1 Ca 0.000 0.168 0.000
Mg1 Mg 0.000 0.000 0.500
Mg2 Mg 0.000 0.338 0.500
Re1 Re 0.000 0.500 0.000
N1 N 0.211 0.500 0.767
N2 N 0.227 0.354 0.248
# D(E_F)	0.60	states/eV/atom
# total DFT energy (no corrections)	-154.50	eV per cell

---

2.
# CoCuBr2, optimized geometry, DFT GGA-PBE
data_CoCuBr2
_chemical_formula_sum 'Co1 Cu1 Br2'
_symmetry_space_group_name_H-M 'P 1 2/m 1'
_symmetry_Int_Tables_number 10
_symmetry_space_group_name_Hall '-P 2y'
_cell_length_a 4.204
_cell_length_b 3.514
_cell_length_c 6.345
_cell_angle_alpha 90.00
_cell_angle_beta 93.74
_cell_angle_gamma 90.00
loop_
_atom_site_label
_atom_site_type_symbol
_atom_site_fract_x
_atom_site_fract_y
_atom_site_fract_z
Co1 Co 0.000 0.000 0.000
Cu1 Cu 0.500 0.000 0.500
Br1 Br 0.254 0.500 0.246
# D(E_F)	0.63	states/eV/atom
# total DFT energy (no corrections)	-13.30	eV per cell
# E above lowest polymorph	133	kJ/mol of formula units